1.
MgCo3Bi PBE optimized geometry; DOS(E_F) = 19.15 states/eV/cell; total moment = 4.011 μB per formula unit; total DFT energy (no corrections) = -4.101 eV per atom
1.0
4.797 0.000 0.000
0.000 4.797 0.000
0.000 0.000 4.797
Mg Co Bi
1 3 1
Cartesian
2.399 2.399 2.399 Mg
0.000 2.399 0.000 Co
0.000 0.000 2.399 Co
2.399 0.000 0.000 Co
0.000 0.000 0.000 Bi

2.
Pd2N PBE optimized geometry; formation energy from raw total energies = 0.6487 eV/atom; DOS(E_F) = 5.40 states/eV/cell; total moment = 0.000 μB per formula unit; total DFT energy (no corrections) = -5.588 eV per atom
1.0
2.932 0.000 0.000
0.000 4.863 0.000
0.000 0.000 5.497
Pd N
4 2
Cartesian
0.000 3.734 3.794 Pd
0.000 1.129 1.702 Pd
1.466 1.303 4.450 Pd
1.466 3.560 1.046 Pd
0.000 0.000 0.000 N
1.466 2.431 2.748 N

3.
BiRu3O PBE optimized geometry; formation energy from raw total energies = 0.4247 eV/atom; DOS(E_F) = 5.77 states/eV/cell; total moment = 0.000 μB per formula unit; total DFT energy (no corrections) = -6.909 eV per atom
1.0
-1.956 3.645 -0.819
-2.906 -2.065 -2.251
-2.347 -0.480 3.470
Ru Bi O
3 1 1
Cartesian
-1.453 -1.033 -1.126 Ru
-1.174 -0.240 1.735 Ru
-0.978 1.822 -0.409 Ru
-3.604 0.550 0.200 Bi
0.000 0.000 0.000 O

4.
Nb2Pd6Au PBE optimized geometry; DOS(E_F) = 6.41 states/eV/cell; total moment = 0.000 μB per formula unit; total DFT energy (no corrections) = -6.223 eV per atom
1.0
2.794 0.000 -0.102
0.000 7.721 0.000
-1.132 -3.860 7.025
Nb Pd Au
2 6 1
Cartesian
1.484 3.860 2.248 Nb
0.178 0.000 4.676 Nb
0.090 1.434 2.361 Pd
1.572 -2.427 4.562 Pd
1.572 2.427 4.562 Pd
1.397 2.476 -0.051 Pd
0.090 6.287 2.361 Pd
1.397 5.245 -0.051 Pd
0.000 0.000 0.000 Au

5.
Zn2TcAg PBE optimized geometry; DOS(E_F) = 2.26 states/eV/cell; total moment = 0.000 μB per formula unit; total DFT energy (no corrections) = -3.808 eV per atom
1.0
2.776 0.000 0.000
0.000 3.593 0.000
0.000 0.000 6.065
Ag Tc Zn
1 1 2
Cartesian
1.388 1.797 1.516 Ag
1.388 1.797 4.549 Tc
0.000 0.000 5.985 Zn
0.000 0.000 3.112 Zn

6.
Tb8Er4Zr PBE optimized geometry; DOS(E_F) = 23.16 states/eV/cell; total moment = 0.021 μB per formula unit; total DFT energy (no corrections) = -4.389 eV per atom
1.0
0.041 -5.247 5.563
1.242 -5.467 -5.201
7.541 0.967 0.822
Tb Er Zr
8 4 1
Cartesian
2.792 -5.166 -2.354 Tb
2.829 -7.852 0.476 Tb
6.032 -4.581 3.538 Tb
6.642 -4.692 -1.935 Tb
6.661 -7.358 0.893 Tb
2.163 -2.389 0.290 Tb
2.182 -5.055 3.118 Tb
5.995 -1.895 0.707 Tb
3.791 -2.140 3.192 Er
4.391 -2.250 -2.190 Er
0.641 -5.357 0.181 Er
0.000 0.000 0.000 Er
4.412 -4.874 0.592 Zr